No. 1
# Sn3P2O8, optimized geometry, DFT PBE
data_Sn3P2O8
_symmetry_space_group_name_H-M 'P 1 21/c 1'
_symmetry_Int_Tables_number 14
_symmetry_space_group_name_Hall '-P 2ybc'
_cell_length_a 11.496
_cell_length_b 4.960
_cell_length_c 16.920
_cell_angle_alpha 90.00
_cell_angle_beta 94.99
_cell_angle_gamma 90.00
loop_
_atom_site_label
_atom_site_fract_x
_atom_site_fract_y
_atom_site_fract_z
Sn1 0.014 0.228 0.368
Sn2 0.309 0.744 0.284
Sn3 0.357 0.120 0.534
P1 0.150 0.700 0.470
P2 0.480 0.223 0.852
O1 0.057 0.672 0.909
O2 0.126 0.738 0.057
O3 0.146 0.110 0.954
O4 0.275 0.695 0.958
O5 0.375 0.148 0.302
O6 0.400 0.699 0.176
O7 0.461 0.586 0.351
O8 0.487 0.170 0.440
# crystal system: monoclinic
# uncorrected formation energy: -1.87 eV per atom

=====

No. 2
# Tb2Ho3Th3, optimized geometry, DFT PBE
data_Tb2Ho3Th3
_symmetry_space_group_name_H-M 'P -6 2 m'
_symmetry_Int_Tables_number 189
_symmetry_space_group_name_Hall 'P -6 -2'
_cell_length_a 9.0611
_cell_length_b 9.0611
_cell_length_c 3.6081
_cell_angle_alpha 90.00
_cell_angle_beta 90.00
_cell_angle_gamma 120.00
loop_
_atom_site_label
_atom_site_fract_x
_atom_site_fract_y
_atom_site_fract_z
Tb1 0.3333 0.6667 0.0000
Ho1 0.0000 0.6050 0.5000
Th1 0.0000 0.2282 0.0000
# formation energy: 0.15 eV per atom
# crystal system: hexagonal
# distance to the lowest polymorph of the same formula: 106.6 meV per atom

=====

No. 3
# VSnMo2Cl, optimized geometry, DFT PBE
data_VSnMo2Cl
_symmetry_space_group_name_H-M 'P 4/m m m'
_symmetry_Int_Tables_number 123
_symmetry_space_group_name_Hall '-P 4 2'
_cell_length_a 5.247
_cell_length_b 5.247
_cell_length_c 5.179
_cell_angle_alpha 90.00
_cell_angle_beta 90.00
_cell_angle_gamma 90.00
loop_
_atom_site_label
_atom_site_fract_x
_atom_site_fract_y
_atom_site_fract_z
V1 0.000 0.000 0.000
Sn1 0.500 0.500 0.500
Mo1 0.000 0.500 0.500
Cl1 0.500 0.500 0.000
# crystal system: tetragonal
# uncorrected formation energy: 2.25 eV per atom

=====

No. 4
# MgSi2Cl, optimized geometry, DFT PBE
data_MgSi2Cl
_symmetry_space_group_name_H-M 'P 4 m m'
_symmetry_Int_Tables_number 99
_symmetry_space_group_name_Hall 'P 4 -2'
_cell_length_a 3.433
_cell_length_b 3.433
_cell_length_c 7.597
_cell_angle_alpha 90.00
_cell_angle_beta 90.00
_cell_angle_gamma 90.00
loop_
_atom_site_label
_atom_site_fract_x
_atom_site_fract_y
_atom_site_fract_z
Mg1 0.000 0.000 0.000
Si1 0.000 0.000 0.343
Si2 0.500 0.500 0.312
Cl1 0.500 0.500 0.844
# crystal system: tetragonal
# distance to the lowest polymorph of the same formula: 244.8 meV per atom
# uncorrected formation energy: -0.24 eV per atom